No. 1
Here is a crystal of YGaBr relaxed with PBEsol from Alexandria via LeMat-Bulk. Energies are from SCAN.

Values from the calculation:
Its space-group type is R-3m. For the density of states at the Fermi level, the calculation gives 1.28 states/eV/cell. The uncorrected formation energy is -1.4261 eV per atom. The calculation puts the total moment at 0.00 μB/cell.

abc: 4.0681 4.0681 11.0355
angles: 79.38 79.38 60.00
Fractional positions:
Ga (0.1564, 0.1564, 0.5307)
Ga (0.8426, 0.8426, 0.4722)
Y (0.5620, 0.5620, 0.3140)
Y (0.4371, 0.4371, 0.6888)
Br (0.2820, 0.2820, 0.1539)
Br (0.7170, 0.7170, 0.8489)



No. 2
Here is a crystal of Mg2MnBr relaxed with PBEsol from Alexandria via LeMat-Bulk. Energies are from SCAN.

Values from the calculation:
Its space-group type is P2/m. For the density of states at the Fermi level, the calculation gives 2.06 states/eV/cell. The uncorrected formation energy is -0.3257 eV per atom. The calculation puts the total moment at 4.03 μB/cell. The energy above the most stable polymorph in this dataset comes out at 0 meV/atom.

abc: 3.2602 3.3464 7.8349
angles: 89.87 90.00 90.00
Last column: magnetic moment on the atom in μB.
Fractional positions:
Br (0.5000, 0.5000, 0.0000)  0.00
Mg (0.0000, 0.4987, 0.7160)  -0.03
Mg (0.0000, 0.5013, 0.2840)  -0.03
Mn (0.5000, 0.0000, 0.5000)  4.03